VASP calculation (PBE) on a relaxed structure of RbIn6Hg2.

```
data_RbIn6Hg2
_symmetry_space_group_name_H-M 'P 4/m m m'
_symmetry_Int_Tables_number 123
_symmetry_space_group_name_Hall '-P 4 2'
_cell_length_a 5.0539
_cell_length_b 5.0539
_cell_length_c 10.7578
_cell_angle_alpha 90.00
_cell_angle_beta 90.00
_cell_angle_gamma 90.00
loop_
_atom_site_label
_atom_site_type_symbol
_atom_site_fract_x
_atom_site_fract_y
_atom_site_fract_z
Rb1 Rb 0.0000 0.0000 0.0000
In1 In 0.0000 0.0000 0.5000
In2 In 0.0000 0.5000 0.3076
In3 In 0.5000 0.5000 0.5000
Hg1 Hg 0.5000 0.5000 0.1382
```

ΔE_f (meV/atom): -73
Fermi-level density of states (states/eV per cell): 2.9
Calculated volume (A^3/atom): 30.53
ΔE to the lowest computed polymorph (meV per atom): 0

***

VASP calculation (PBE) on a relaxed structure of Pu3Bi2H.

```
data_Pu3Bi2H
_symmetry_space_group_name_H-M 'P m m 2'
_symmetry_Int_Tables_number 25
_symmetry_space_group_name_Hall 'P 2 -2'
_cell_length_a 3.9428
_cell_length_b 4.4360
_cell_length_c 8.1026
_cell_angle_alpha 90.00
_cell_angle_beta 90.00
_cell_angle_gamma 90.00
loop_
_atom_site_label
_atom_site_type_symbol
_atom_site_fract_x
_atom_site_fract_y
_atom_site_fract_z
Pu1 Pu 0.0000 0.0000 0.0000
Pu2 Pu 0.0000 0.0000 0.3951
Pu3 Pu 0.5000 0.0000 0.5975
Bi1 Bi 0.0000 0.5000 0.7104
Bi2 Bi 0.5000 0.5000 0.2070
H1 H 0.5000 0.0000 0.8703
```

Fermi-level density of states (states/eV per cell): 21.3
Calculated volume (A^3/atom): 23.62
ΔE to the lowest computed polymorph (meV per atom): 46

***

VASP calculation (PBE) on a relaxed structure of Tb8Nd5Mg.

```
data_Tb8Nd5Mg
_symmetry_space_group_name_H-M 'I -4'
_symmetry_Int_Tables_number 82
_symmetry_space_group_name_Hall 'I -4'
_cell_length_a 9.6971
_cell_length_b 9.6971
_cell_length_c 10.0259
_cell_angle_alpha 90.00
_cell_angle_beta 90.00
_cell_angle_gamma 90.00
loop_
_atom_site_label
_atom_site_type_symbol
_atom_site_fract_x
_atom_site_fract_y
_atom_site_fract_z
Tb1 Tb 0.0692 0.3277 0.0922
Tb2 Tb 0.0863 0.1847 0.7545
Nd1 Nd 0.0000 0.0000 0.0000
Nd2 Nd 0.1031 0.2118 0.4203
Mg1 Mg 0.0000 0.5000 0.7500
```

ΔE_f (meV/atom): 222
Fermi-level density of states (states/eV per cell): 34.4
Calculated volume (A^3/atom): 33.67

***

VASP calculation (PBE) on a relaxed structure of BaTl4Cr.

```
data_BaTl4Cr
_symmetry_space_group_name_H-M 'F -4 3 m'
_symmetry_Int_Tables_number 216
_symmetry_space_group_name_Hall 'F -4 2 3'
_cell_length_a 9.1463
_cell_length_b 9.1463
_cell_length_c 9.1463
_cell_angle_alpha 90.00
_cell_angle_beta 90.00
_cell_angle_gamma 90.00
loop_
_atom_site_label
_atom_site_type_symbol
_atom_site_fract_x
_atom_site_fract_y
_atom_site_fract_z
Ba1 Ba 0.0000 0.0000 0.0000
Tl1 Tl 0.1242 0.1242 0.3758
Cr1 Cr 0.2500 0.2500 0.7500
```

ΔE_f (meV/atom): 236
Fermi-level density of states (states/eV per cell): 18.3
Calculated volume (A^3/atom): 31.88

***

VASP calculation (PBE) on a relaxed structure of Li2InB2Pt5.

```
data_Li2InB2Pt5
_symmetry_space_group_name_H-M 'P 4/m b m'
_symmetry_Int_Tables_number 127
_symmetry_space_group_name_Hall '-P 4 2ab'
_cell_length_a 9.6311
_cell_length_b 9.6311
_cell_length_c 3.1090
_cell_angle_alpha 90.00
_cell_angle_beta 90.00
_cell_angle_gamma 90.00
loop_
_atom_site_label
_atom_site_type_symbol
_atom_site_fract_x
_atom_site_fract_y
_atom_site_fract_z
Li1 Li 0.1751 0.3249 0.0000
In1 In 0.0000 0.0000 0.0000
B1 B 0.1232 0.6232 0.0000
Pt1 Pt 0.0000 0.5000 0.5000
Pt2 Pt 0.0732 0.7757 0.5000
```

ΔE_f (meV/atom): -475
Fermi-level density of states (states/eV per cell): 4.4
Calculated volume (A^3/atom): 14.42

***

VASP calculation (PBE) on a relaxed structure of Ac2PmCu3Sn4.

```
data_Ac2PmCu3Sn4
_symmetry_space_group_name_H-M 'P -4 m 2'
_symmetry_Int_Tables_number 115
_symmetry_space_group_name_Hall 'P -4 -2'
_cell_length_a 4.6666
_cell_length_b 4.6666
_cell_length_c 11.9074
_cell_angle_alpha 90.00
_cell_angle_beta 90.00
_cell_angle_gamma 90.00
loop_
_atom_site_label
_atom_site_type_symbol
_atom_site_fract_x
_atom_site_fract_y
_atom_site_fract_z
Ac1 Ac 0.0000 0.5000 0.2274
Pm1 Pm 0.0000 0.0000 0.5000
Cu1 Cu 0.0000 0.5000 0.8815
Cu2 Cu 0.5000 0.5000 0.5000
Sn1 Sn 0.0000 0.0000 0.0000
Sn2 Sn 0.0000 0.5000 0.6611
Sn3 Sn 0.5000 0.5000 0.0000
```

ΔE_f (meV/atom): -454
Fermi-level density of states (states/eV per cell): 3.2
Calculated volume (A^3/atom): 25.93

***

VASP calculation (PBE) on a relaxed structure of ScSbRh2.

```
data_ScSbRh2
_symmetry_space_group_name_H-M 'P m m 2'
_symmetry_Int_Tables_number 25
_symmetry_space_group_name_Hall 'P 2 -2'
_cell_length_a 3.4606
_cell_length_b 3.7751
_cell_length_c 5.4455
_cell_angle_alpha 90.00
_cell_angle_beta 90.00
_cell_angle_gamma 90.00
loop_
_atom_site_label
_atom_site_type_symbol
_atom_site_fract_x
_atom_site_fract_y
_atom_site_fract_z
Sc1 Sc 0.0000 0.0000 0.0000
Sb1 Sb 0.5000 0.5000 0.3366
Rh1 Rh 0.0000 0.0000 0.5056
Rh2 Rh 0.5000 0.5000 0.8329
```

ΔE_f (raw) (eV/atom): -0.663
Fermi-level density of states (states/eV per cell): 1.7
Calculated volume (A^3/atom): 17.79

***

VASP calculation (PBE) on a relaxed structure of TmTaNiRu.

```
data_TmTaNiRu
_symmetry_space_group_name_H-M 'F -4 3 m'
_symmetry_Int_Tables_number 216
_symmetry_space_group_name_Hall 'F -4 2 3'
_cell_length_a 6.4567
_cell_length_b 6.4567
_cell_length_c 6.4567
_cell_angle_alpha 90.00
_cell_angle_beta 90.00
_cell_angle_gamma 90.00
loop_
_atom_site_label
_atom_site_type_symbol
_atom_site_fract_x
_atom_site_fract_y
_atom_site_fract_z
Tm1 Tm 0.0000 0.0000 0.0000
Ta1 Ta 0.0000 0.0000 0.5000
Ni1 Ni 0.2500 0.2500 0.2500
Ru1 Ru 0.2500 0.2500 0.7500
```

ΔE_f (meV/atom): -257
Fermi-level density of states (states/eV per cell): 15.2
Calculated volume (A^3/atom): 16.82

***

> Look up the Fermi-level density of states of the sixth one.

3.2 states/eV per cell

***

> Look up the Fermi-level density of states of the third one.

34.4 states/eV per cell

***

> Which value of Fermi-level density of states does entry 5 give?

4.4 states/eV per cell